# 1
This record from the Alexandria database describes a relaxed structure of NdThZr. The functional is GGA-PBE.

a = 7.8930 Å, b = 7.8930 Å, c = 7.8930 Å
α = 154.79°, β = 154.79°, γ = 35.95°
Fractional coordinates of all 3 atoms:
Nd 0.0000 0.0000 0.0000
Th 0.6811 0.6811 0.0000
Zr 0.3352 0.3352 0.0000

Properties
**DFT total energy**: -6.787 eV/atom
**V**: 89.09 Å³/cell
**ρ**: 8.71 g/cm3
**SG**: No. 107
**Distance to the lowest polymorph of the same formula**: 0.056 eV per atom


# 2
This record from the Alexandria database describes a relaxed structure of Cr3Fe. The functional is GGA-PBE.

a = 4.0177 Å, b = 4.0177 Å, c = 4.0177 Å
α = 60.00°, β = 60.00°, γ = 60.00°
Fractional coordinates of all 4 atoms:
Cr 0.0000 0.0000 0.0000
Cr 0.2500 0.2500 0.2500
Cr 0.7500 0.7500 0.7500
Fe 0.5000 0.5000 0.5000

Properties
**DFT total energy**: -9.221 eV/atom
**V**: 45.86 Å³/cell
**ρ**: 7.67 g/cm3
**SG**: No. 225


# 3
This record from the Alexandria database describes a relaxed structure of ZrIrW2. The functional is GGA-PBE.

a = 4.5728 Å, b = 4.5728 Å, c = 4.5728 Å
α = 60.00°, β = 60.00°, γ = 60.00°
Fractional coordinates of all 4 atoms:
Zr 0.0000 0.0000 0.0000
Ir 0.7500 0.7500 0.7500
W 0.2500 0.2500 0.2500
W 0.5000 0.5000 0.5000

Properties
**DFT total energy**: -10.936 eV/atom
**V**: 67.61 Å³/cell
**ρ**: 15.99 g/cm3
**SG**: No. 216
**Distance to the lowest polymorph of the same formula**: 0.022 eV per atom


# 4
This record from the Alexandria database describes a relaxed structure of CsNpAgS3. The functional is GGA-PBE.

a = 8.0290 Å, b = 8.0290 Å, c = 10.4807 Å
α = 90.00°, β = 90.00°, γ = 150.17°
Fractional coordinates of all 12 atoms:
Cs 0.2386 0.7614 0.7500
Cs 0.7614 0.2386 0.2500
Np 0.5000 0.5000 0.0000
Np 0.5000 0.5000 0.5000
Ag 0.0455 0.9545 0.2500
Ag 0.9545 0.0455 0.7500
S 0.1126 0.8874 0.0350
S 0.1126 0.8874 0.4650
S 0.4477 0.5523 0.2500
S 0.5523 0.4477 0.7500
S 0.8874 0.1126 0.5350
S 0.8874 0.1126 0.9650

Properties
**DFT total energy**: -5.931 eV/atom
**V**: 336.13 Å³/cell
**ρ**: 5.67 g/cm3
**SG**: No. 63
**Raw formation energy**: -1093 meV per atom


# 5
This record from the Alexandria database describes a relaxed structure of OsI2NO. The functional is GGA-PBE.

a = 5.4376 Å, b = 5.4376 Å, c = 3.6833 Å
α = 90.00°, β = 90.00°, γ = 90.00°
Fractional coordinates of all 5 atoms:
Os 0.0000 0.0000 0.0000
I 0.0000 0.5000 0.0000
I 0.5000 0.0000 0.0000
N 0.0000 0.0000 0.5000
O 0.5000 0.5000 0.5000

Properties
**DFT total energy**: -4.572 eV/atom
**V**: 108.91 Å³/cell
**ρ**: 7.23 g/cm3
**SG**: No. 123
**Distance to the lowest polymorph of the same formula**: 0.000 eV per atom
**Raw formation energy**: 951 meV per atom


# 6
This record from the Alexandria database describes a relaxed structure of LiTmPbBr6. The functional is GGA-PBE.

a = 7.0963 Å, b = 7.0963 Å, c = 13.2032 Å
α = 90.00°, β = 90.00°, γ = 120.00°
Fractional coordinates of all 18 atoms:
Li 0.3333 0.6667 0.2500
Li 0.6667 0.3333 0.7500
Tm 0.3333 0.6667 0.7500
Tm 0.6667 0.3333 0.2500
Pb 0.0000 0.0000 0.0000
Pb 0.0000 0.0000 0.5000
Br 0.0012 0.3576 0.1316
Br 0.0012 0.6436 0.3684
Br 0.3564 0.3576 0.3684
Br 0.3564 0.9988 0.1316
Br 0.3576 0.0012 0.6316
Br 0.3576 0.3564 0.8684
Br 0.6424 0.6436 0.1316
Br 0.6424 0.9988 0.3684
Br 0.6436 0.0012 0.8684
Br 0.6436 0.6424 0.6316
Br 0.9988 0.3564 0.6316
Br 0.9988 0.6424 0.8684

Properties
**DFT total energy**: -3.694 eV/atom
**V**: 575.80 Å³/cell
**ρ**: 4.97 g/cm3
**SG**: No. 163
**Raw formation energy**: -1457 meV per atom


What did the second record say?
This record from the Alexandria database describes a relaxed structure of Cr3Fe. The functional is GGA-PBE.

a = 4.0177 Å, b = 4.0177 Å, c = 4.0177 Å
α = 60.00°, β = 60.00°, γ = 60.00°
Fractional coordinates of all 4 atoms:
Cr 0.0000 0.0000 0.0000
Cr 0.2500 0.2500 0.2500
Cr 0.7500 0.7500 0.7500
Fe 0.5000 0.5000 0.5000

Properties
**DFT total energy**: -9.221 eV/atom
**V**: 45.86 Å³/cell
**ρ**: 7.67 g/cm3
**SG**: No. 225


> Look up the ρ of the fourth one.

5.67 g/cm3